No. 1
{"formula": "SrIOF2", "functional": "PBE", "state": "relaxed", "formation_energy_uncorrected_ev_per_atom": -1.501, "polymorph_energy_mev_per_atom": 0, "cell": [[-2.1475, -3.4286, 2.0939], [1.1514, -2.8000, -3.4038], [4.4023, -1.2300, 2.5010]], "species": ["F", "F", "O", "I", "Sr"], "fractional_positions": [[0.5000, 0.0000, 0.0000], [0.0000, 0.5000, 0.0000], [0.0000, 0.0000, 0.5000], [0.5000, 0.5000, 0.5000], [0.0000, 0.0000, 0.0000]]}

No. 2
{"formula": "TaIO2F", "functional": "PBE", "state": "relaxed", "formation_energy_uncorrected_ev_per_atom": -1.621, "cell": [[-3.0642, -1.5607, 1.8246], [1.1284, -3.5473, -1.1392], [3.1272, -0.5427, 4.7874]], "species": ["I", "Ta", "F", "O", "O"], "fractional_positions": [[0.0000, 0.0000, 0.5000], [0.0000, 0.0000, 0.0000], [0.5000, 0.5000, 0.5000], [0.5000, 0.0000, 0.0000], [0.0000, 0.5000, 0.0000]]}

No. 3
{"formula": "TaIO2F", "functional": "PBE", "state": "relaxed", "formation_energy_uncorrected_ev_per_atom": -1.536, "cell": [[-2.6333, -2.9166, 0.9836], [2.9256, -2.7739, -0.3927], [1.0542, 0.5017, 4.3101]], "species": ["I", "F", "O", "O", "Ta"], "fractional_positions": [[0.5000, 0.5000, 0.5000], [0.0000, 0.0000, 0.5000], [0.5000, 0.0000, 0.0000], [0.0000, 0.5000, 0.0000], [0.0000, 0.0000, 0.0000]]}

No. 4
{"formula": "TaIO2F", "functional": "PBE", "state": "relaxed", "formation_energy_uncorrected_ev_per_atom": 0.845, "cell": [[4.3407, 0.0000, 0.0000], [0.0000, 4.3407, 0.0000], [0.0000, 0.0000, 3.8517]], "species": ["O", "O", "I", "Ta", "F"], "fractional_positions": [[0.5000, 0.0000, 0.0000], [0.0000, 0.5000, 0.0000], [0.0000, 0.0000, 0.5000], [0.5000, 0.5000, 0.5000], [0.0000, 0.0000, 0.0000]]}

No. 5
{"formula": "TaIO2F", "functional": "PBE", "state": "relaxed", "formation_energy_uncorrected_ev_per_atom": 0.625, "cell": [[3.9601, 0.0000, 0.0000], [0.0000, 3.9601, 0.0000], [0.0000, 0.0000, 6.3819]], "species": ["O", "O", "Ta", "F", "I"], "fractional_positions": [[0.0000, 0.5000, 0.0000], [0.5000, 0.0000, 0.0000], [0.5000, 0.5000, 0.5000], [0.0000, 0.0000, 0.5000], [0.0000, 0.0000, 0.0000]]}

No. 6
{"formula": "TcIO2F", "functional": "PBE", "state": "relaxed", "formation_energy_uncorrected_ev_per_atom": 1.101, "cell": [[4.4401, 0.0000, 0.0000], [0.0000, 4.4401, 0.0000], [0.0000, 0.0000, 4.1452]], "species": ["Tc", "F", "I", "O", "O"], "fractional_positions": [[0.5000, 0.5000, 0.5000], [0.0000, 0.0000, 0.0000], [0.0000, 0.0000, 0.5000], [0.0000, 0.5000, 0.0000], [0.5000, 0.0000, 0.0000]]}

No. 7
{"formula": "TcIO2F", "functional": "PBE", "state": "relaxed", "formation_energy_uncorrected_ev_per_atom": 0.443, "cell": [[4.0371, 0.0000, 0.0000], [0.0000, 4.0371, 0.0000], [0.0000, 0.0000, 5.7309]], "species": ["O", "O", "F", "I", "Tc"], "fractional_positions": [[0.5000, 0.0000, 0.0000], [0.0000, 0.5000, 0.0000], [0.0000, 0.0000, 0.5000], [0.0000, 0.0000, 0.0000], [0.5000, 0.5000, 0.5000]]}

No. 8
{"formula": "TcIO2F", "functional": "PBE", "state": "relaxed", "formation_energy_uncorrected_ev_per_atom": -0.595, "cell": [[3.8499, 0.0000, 0.0000], [0.0000, 3.8499, 0.0000], [0.0000, 0.0000, 4.9913]], "species": ["O", "O", "F", "I", "Tc"], "fractional_positions": [[0.5000, 0.0000, 0.0000], [0.0000, 0.5000, 0.0000], [0.0000, 0.0000, 0.5000], [0.5000, 0.5000, 0.5000], [0.0000, 0.0000, 0.0000]]}

No. 9
{"formula": "TcIO2F", "functional": "PBE", "state": "relaxed", "formation_energy_uncorrected_ev_per_atom": -0.846, "cell": [[-1.8675, 2.0595, -2.5623], [3.7705, -1.4236, -3.8923], [-2.0818, -3.0216, -0.9114]], "species": ["O", "O", "Tc", "I", "F"], "fractional_positions": [[0.0000, 0.0000, 0.5000], [0.5000, 0.0000, 0.0000], [0.0000, 0.0000, 0.0000], [0.0000, 0.5000, 0.0000], [0.5000, 0.5000, 0.5000]]}

No. 10
{"formula": "TeI2OF", "functional": "PBE", "state": "relaxed", "formation_energy_uncorrected_ev_per_atom": 0.653, "polymorph_energy_mev_per_atom": 802, "cell": [[-5.4139, 1.3194, 0.0962], [-0.3349, -0.9751, -5.4770], [-0.8659, -3.6038, 0.6946]], "species": ["O", "I", "I", "Te", "F"], "fractional_positions": [[0.0000, 0.0000, 0.5000], [0.5000, 0.0000, 0.0000], [0.0000, 0.5000, 0.0000], [0.5000, 0.5000, 0.5000], [0.0000, 0.0000, 0.0000]]}

No. 11
{"formula": "TeI2OF", "functional": "PBE", "state": "relaxed", "formation_energy_uncorrected_ev_per_atom": 0.648, "polymorph_energy_mev_per_atom": 797, "cell": [[5.7099, 0.0000, 0.0000], [0.0000, 5.7099, 0.0000], [0.0000, 0.0000, 4.2058]], "species": ["I", "I", "Te", "F", "O"], "fractional_positions": [[0.0000, 0.5000, 0.0000], [0.5000, 0.0000, 0.0000], [0.0000, 0.0000, 0.5000], [0.0000, 0.0000, 0.0000], [0.5000, 0.5000, 0.5000]]}

No. 12
{"formula": "TeI2OF", "functional": "PBE", "state": "relaxed", "formation_energy_uncorrected_ev_per_atom": 0.189, "polymorph_energy_mev_per_atom": 338, "cell": [[5.0999, 0.0000, 0.0000], [0.0000, 5.0999, 0.0000], [0.0000, 0.0000, 4.5138]], "species": ["I", "I", "Te", "F", "O"], "fractional_positions": [[0.5000, 0.0000, 0.0000], [0.0000, 0.5000, 0.0000], [0.0000, 0.0000, 0.5000], [0.5000, 0.5000, 0.5000], [0.0000, 0.0000, 0.0000]]}